1.
Th2Be4Si3Rh after structural relaxation. Source: the Alexandria database, functional GGA-PBE.

Calculated values
**M_tot**: 0.0 Bohr magnetons per cell
**DOS at the Fermi energy**: 4.08 states/eV/f.u.
**Formation energy (no corrections)**: -0.516 eV/atom
**Energy**: -58.52 eV for the cell shown

The structure in CIF format:
```
data_Th2Be4Si3Rh
_chemical_formula_sum 'Th2 Be4 Si3 Rh1'
_cell_length_a 3.984
_cell_length_b 3.984
_cell_length_c 9.691
_cell_angle_alpha 90.00
_cell_angle_beta 90.00
_cell_angle_gamma 90.00
_symmetry_space_group_name_H-M 'P 1'
_symmetry_Int_Tables_number 1
loop_
_symmetry_equiv_pos_as_xyz
'x,y,z'
loop_
_atom_site_label
_atom_site_type_symbol
_atom_site_fract_x
_atom_site_fract_y
_atom_site_fract_z
Th1 Th 0.000 0.500 0.247
Th2 Th 0.500 0.000 0.753
Be1 Be 0.000 0.000 0.000
Be2 Be 0.000 0.500 0.626
Be3 Be 0.500 0.000 0.374
Be4 Be 0.500 0.500 0.000
Si1 Si 0.000 0.500 0.871
Si2 Si 0.500 0.000 0.129
Si3 Si 0.500 0.500 0.500
Rh1 Rh 0.000 0.000 0.500
```

2.
KBiPO2 after structural relaxation. Source: the Alexandria database, functional GGA-PBE.

Calculated values
**M_tot**: 3.0 Bohr magnetons per cell
**DOS at the Fermi energy**: 4.51 states/eV/f.u.
**Formation energy (no corrections)**: 0.840 eV/atom
**Energy**: -16.10 eV for the cell shown
**Relative energy among the computed polymorphs**: 106.62 kJ/mol of atoms

The structure in CIF format:
```
data_KBiPO2
_chemical_formula_sum 'K1 Bi1 P1 O2'
_cell_length_a 4.477
_cell_length_b 4.477
_cell_length_c 5.870
_cell_angle_alpha 90.00
_cell_angle_beta 90.00
_cell_angle_gamma 90.00
_symmetry_space_group_name_H-M 'P 1'
_symmetry_Int_Tables_number 1
loop_
_symmetry_equiv_pos_as_xyz
'x,y,z'
loop_
_atom_site_label
_atom_site_type_symbol
_atom_site_fract_x
_atom_site_fract_y
_atom_site_fract_z
K1 K 0.000 0.000 0.000
Bi1 Bi 0.500 0.500 0.500
P1 P 0.000 0.000 0.500
O1 O 0.000 0.500 0.000
O2 O 0.500 0.000 0.000
```

3.
SiPBr2 after structural relaxation. Source: the Alexandria database, functional GGA-PBE.

Calculated values
**M_tot**: 0.0 Bohr magnetons per cell
**DOS at the Fermi energy**: 2.66 states/eV/f.u.
**Formation energy (no corrections)**: 0.715 eV/atom
**Energy**: -45.27 eV for the cell shown
**Relative energy among the computed polymorphs**: 86.69 kJ/mol of atoms

The structure in CIF format:
```
data_SiPBr2
_chemical_formula_sum 'Si4 P4 Br8'
_cell_length_a 7.640
_cell_length_b 7.640
_cell_length_c 6.444
_cell_angle_alpha 90.00
_cell_angle_beta 90.00
_cell_angle_gamma 90.00
_symmetry_space_group_name_H-M 'P 1'
_symmetry_Int_Tables_number 1
loop_
_symmetry_equiv_pos_as_xyz
'x,y,z'
loop_
_atom_site_label
_atom_site_type_symbol
_atom_site_fract_x
_atom_site_fract_y
_atom_site_fract_z
Si1 Si 0.000 0.000 0.000
Si2 Si 0.000 0.500 0.250
Si3 Si 0.500 0.000 0.750
Si4 Si 0.500 0.500 0.500
P1 P 0.000 0.000 0.500
P2 P 0.000 0.500 0.750
P3 P 0.500 0.000 0.250
P4 P 0.500 0.500 0.000
Br1 Br 0.244 0.750 0.125
Br2 Br 0.250 0.244 0.875
Br3 Br 0.250 0.256 0.375
Br4 Br 0.256 0.750 0.625
Br5 Br 0.744 0.250 0.625
Br6 Br 0.750 0.744 0.375
Br7 Br 0.750 0.756 0.875
Br8 Br 0.756 0.250 0.125
```

4.
LiCa2InRh after structural relaxation. Source: the Alexandria database, functional GGA-PBE.

Calculated values
**M_tot**: 0.0 Bohr magnetons per cell
**DOS at the Fermi energy**: 2.06 states/eV/f.u.
**Calculated formation energy**: -0.2456 eV per atom
**Energy**: -17.23 eV for the cell shown

The structure in CIF format:
```
data_LiCa2InRh
_chemical_formula_sum 'Li1 Ca2 In1 Rh1'
_cell_length_a 5.420
_cell_length_b 5.420
_cell_length_c 5.217
_cell_angle_alpha 90.00
_cell_angle_beta 90.00
_cell_angle_gamma 90.00
_symmetry_space_group_name_H-M 'P 1'
_symmetry_Int_Tables_number 1
loop_
_symmetry_equiv_pos_as_xyz
'x,y,z'
loop_
_atom_site_label
_atom_site_type_symbol
_atom_site_fract_x
_atom_site_fract_y
_atom_site_fract_z
Li1 Li 0.000 0.000 0.000
Ca1 Ca 0.000 0.500 0.500
Ca2 Ca 0.500 0.000 0.500
In1 In 0.500 0.500 0.000
Rh1 Rh 0.500 0.500 0.500
```

5.
Cs4Ac3RuO8 after structural relaxation. Source: the Alexandria database, functional GGA-PBE.

Calculated values
**M_tot**: 1.0 Bohr magnetons per cell
**DOS at the Fermi energy**: 8.67 states/eV/f.u.
**Formation energy (no corrections)**: -1.949 eV/atom
**Energy**: -95.86 eV for the cell shown

The structure in CIF format:
```
data_Cs4Ac3RuO8
_chemical_formula_sum 'Cs4 Ac3 Ru1 O8'
_cell_length_a 8.159
_cell_length_b 8.159
_cell_length_c 8.159
_cell_angle_alpha 54.77
_cell_angle_beta 54.77
_cell_angle_gamma 54.77
_symmetry_space_group_name_H-M 'P 1'
_symmetry_Int_Tables_number 1
loop_
_symmetry_equiv_pos_as_xyz
'x,y,z'
loop_
_atom_site_label
_atom_site_type_symbol
_atom_site_fract_x
_atom_site_fract_y
_atom_site_fract_z
Cs1 Cs 0.000 0.000 0.000
Cs2 Cs 0.000 0.500 0.500
Cs3 Cs 0.500 0.000 0.500
Cs4 Cs 0.500 0.500 0.000
Ac1 Ac 0.000 0.000 0.500
Ac2 Ac 0.000 0.500 0.000
Ac3 Ac 0.500 0.000 0.000
Ru1 Ru 0.500 0.500 0.500
O1 O 0.226 0.226 0.226
O2 O 0.253 0.707 0.707
O3 O 0.293 0.293 0.747
O4 O 0.293 0.747 0.293
O5 O 0.707 0.253 0.707
O6 O 0.707 0.707 0.253
O7 O 0.747 0.293 0.293
O8 O 0.774 0.774 0.774
```

6.
LiCa3Zn8 after structural relaxation. Source: the Alexandria database, functional GGA-PBE.

Calculated values
**M_tot**: 0.0 Bohr magnetons per cell
**DOS at the Fermi energy**: 6.56 states/eV/f.u.
**Calculated formation energy**: -0.2347 eV per atom
**Energy**: -20.93 eV for the cell shown

The structure in CIF format:
```
data_LiCa3Zn8
_chemical_formula_sum 'Li1 Ca3 Zn8'
_cell_length_a 9.587
_cell_length_b 9.587
_cell_length_c 9.587
_cell_angle_alpha 32.97
_cell_angle_beta 32.97
_cell_angle_gamma 32.97
_symmetry_space_group_name_H-M 'P 1'
_symmetry_Int_Tables_number 1
loop_
_symmetry_equiv_pos_as_xyz
'x,y,z'
loop_
_atom_site_label
_atom_site_type_symbol
_atom_site_fract_x
_atom_site_fract_y
_atom_site_fract_z
Li1 Li 0.000 0.000 0.000
Ca1 Ca 0.121 0.121 0.121
Ca2 Ca 0.503 0.503 0.503
Ca3 Ca 0.630 0.630 0.630
Zn1 Zn 0.063 0.562 0.562
Zn2 Zn 0.064 0.064 0.567
Zn3 Zn 0.064 0.567 0.064
Zn4 Zn 0.315 0.315 0.315
Zn5 Zn 0.562 0.063 0.562
Zn6 Zn 0.562 0.562 0.063
Zn7 Zn 0.567 0.064 0.064
Zn8 Zn 0.813 0.813 0.813
```

7.
LaCoSn2 after structural relaxation. Source: the Alexandria database, functional GGA-PBE.

Calculated values
**M_tot**: 1.7 Bohr magnetons per cell
**DOS at the Fermi energy**: 5.50 states/eV/f.u.
**Calculated formation energy**: 0.1816 eV per atom
**Energy**: -57.94 eV for the cell shown

The structure in CIF format:
```
data_LaCoSn2
_chemical_formula_sum 'La3 Co3 Sn6'
_cell_length_a 3.325
_cell_length_b 3.325
_cell_length_c 31.147
_cell_angle_alpha 90.00
_cell_angle_beta 90.00
_cell_angle_gamma 120.00
_symmetry_space_group_name_H-M 'P 1'
_symmetry_Int_Tables_number 1
loop_
_symmetry_equiv_pos_as_xyz
'x,y,z'
loop_
_atom_site_label
_atom_site_type_symbol
_atom_site_fract_x
_atom_site_fract_y
_atom_site_fract_z
La1 La 0.000 0.000 0.000
La2 La 0.333 0.667 0.667
La3 La 0.667 0.333 0.333
Co1 Co 0.000 0.000 0.500
Co2 Co 0.333 0.667 0.167
Co3 Co 0.667 0.333 0.833
Sn1 Sn 0.000 0.000 0.107
Sn2 Sn 0.000 0.000 0.893
Sn3 Sn 0.333 0.667 0.560
Sn4 Sn 0.333 0.667 0.774
Sn5 Sn 0.667 0.333 0.226
Sn6 Sn 0.667 0.333 0.440
```

8.
ZrInNi2 after structural relaxation. Source: the Alexandria database, functional GGA-PBE.

Calculated values
**M_tot**: 0.0 Bohr magnetons per cell
**DOS at the Fermi energy**: 4.56 states/eV/f.u.
**Calculated formation energy**: -0.1419 eV per atom
**Energy**: -70.25 eV for the cell shown

The structure in CIF format:
```
data_ZrInNi2
_chemical_formula_sum 'Zr3 In3 Ni6'
_cell_length_a 4.236
_cell_length_b 4.236
_cell_length_c 13.434
_cell_angle_alpha 90.00
_cell_angle_beta 90.00
_cell_angle_gamma 120.00
_symmetry_space_group_name_H-M 'P 1'
_symmetry_Int_Tables_number 1
loop_
_symmetry_equiv_pos_as_xyz
'x,y,z'
loop_
_atom_site_label
_atom_site_type_symbol
_atom_site_fract_x
_atom_site_fract_y
_atom_site_fract_z
Zr1 Zr 0.000 0.000 0.000
Zr2 Zr 0.333 0.667 0.667
Zr3 Zr 0.667 0.333 0.333
In1 In 0.000 0.000 0.209
In2 In 0.333 0.667 0.876
In3 In 0.667 0.333 0.543
Ni1 Ni 0.000 0.000 0.419
Ni2 Ni 0.000 0.000 0.794
Ni3 Ni 0.333 0.667 0.085
Ni4 Ni 0.333 0.667 0.460
Ni5 Ni 0.667 0.333 0.127
Ni6 Ni 0.667 0.333 0.752
```

Number 1 is which compound?
Th2Be4Si3Rh

The lowest DOS at the Fermi energy belongs to which entry?
LiCa2InRh

The highest DOS at the Fermi energy belongs to which entry?
Cs4Ac3RuO8